No. 1
Below is an optimized crystal structure of Tm4InC2Se, with properties calculated at the GGA-PBE level.

Cell and atoms, written as POSCAR:
```
Tm4InC2Se
1.0
3.6250 0.0000 0.0000
-1.8125 3.1394 0.0000
0.0000 0.0000 14.5945
C In Se Tm
2 1 1 4
direct
0.6667 0.3333 0.2269 C
0.6667 0.3333 0.7731 C
0.0000 0.0000 0.5000 In
0.3333 0.6667 0.0000 Se
0.0000 0.0000 0.1361 Tm
0.3333 0.6667 0.3157 Tm
0.3333 0.6667 0.6843 Tm
0.0000 0.0000 0.8639 Tm
```

Results
Its energy is -6.125 eV per atom. The volume is 166 Å³/cell.

***

No. 2
Below is an optimized crystal structure of ErTlAg, with properties calculated at the GGA-PBE level.

Cell and atoms, written as POSCAR:
```
ErTlAg
1.0
1.4057 -3.3978 3.0866
0.4449 1.0323 4.6674
-3.1233 -1.8073 3.1665
Ag Er Tl
1 1 1
direct
0.0000 0.0000 0.0000 Ag
0.2500 0.2500 0.2500 Er
0.7500 0.7500 0.7500 Tl
```

Results
Its energy is -3.414 eV per atom. The volume is 78 Å³/cell.

***

No. 3
Below is an optimized crystal structure of U3Fe2, with properties calculated at the GGA-PBE level.

Cell and atoms, written as POSCAR:
```
U3Fe2
1.0
3.1825 1.1744 -5.4068
-1.3130 4.7715 4.0311
6.0944 -2.0615 -0.6281
Fe U
4 6
direct
0.3243 0.6757 0.0271 Fe
0.1757 0.8243 0.4729 Fe
0.8243 0.1757 0.5271 Fe
0.6757 0.3243 0.9729 Fe
0.2500 0.2088 0.2500 U
0.7912 0.2912 0.2500 U
0.7088 0.7500 0.2500 U
0.2912 0.2500 0.7500 U
0.2088 0.7088 0.7500 U
0.7500 0.7912 0.7500 U
```

Results
The volume is 187 Å³/cell. As for the formation energy from the elements: 214 meV per atom.

***

No. 4
Below is an optimized crystal structure of Tl2CuF4, with properties calculated at the GGA-PBE level.

Cell and atoms, written as POSCAR:
```
Tl2CuF4
1.0
-3.6486 -1.0004 6.2970
-4.1261 4.3192 4.2760
1.5622 -2.4263 -6.7556
Cu F Tl
1 4 2
direct
0.0000 0.0000 0.0000 Cu
0.1487 0.1487 0.0000 F
0.8513 0.8513 0.0000 F
0.5000 0.0000 0.5000 F
0.0000 0.5000 0.5000 F
0.3493 0.3493 0.0000 Tl
0.6507 0.6507 0.0000 Tl
```

Results
The volume is 110 Å³/cell. For the energy above the most stable polymorph in this dataset, the calculation gives 0.00 eV per formula unit.

***

No. 5
Below is an optimized crystal structure of CuSn5W3, with properties calculated at the GGA-PBE level.

Cell and atoms, written as POSCAR:
```
CuSn5W3
1.0
-0.3825 -4.3197 3.4104
3.9931 0.1669 -3.8032
4.8518 3.7210 5.2574
Cu Sn W
1 5 3
direct
0.0000 0.0000 0.0000 Cu
0.6667 0.3333 0.1954 Sn
0.3333 0.6667 0.1954 Sn
0.0000 0.0000 0.5000 Sn
0.6667 0.3333 0.8046 Sn
0.3333 0.6667 0.8046 Sn
0.5000 0.0000 0.5000 W
0.0000 0.5000 0.5000 W
0.5000 0.5000 0.5000 W
```

Results
Its energy is -6.470 eV per atom. The volume is 213 Å³/cell.

***

No. 6
Below is an optimized crystal structure of HfCuReB, with properties calculated at the GGA-PBE level.

Cell and atoms, written as POSCAR:
```
HfCuReB
1.0
-2.5142 -3.4238 0.8770
-3.4466 -0.8544 -2.4908
0.0297 -3.4444 -2.6360
B Cu Hf Re
1 1 1 1
direct
0.0000 0.0000 0.0000 B
0.7500 0.7500 0.7500 Cu
0.2500 0.2500 0.2500 Hf
0.5000 0.5000 0.5000 Re
```

Results
The volume is 58 Å³/cell. For the energy above the most stable polymorph in this dataset, the calculation gives 0.63 eV per formula unit.

***

No. 7
Below is an optimized crystal structure of KGdSO, with properties calculated at the GGA-PBE level.

Cell and atoms, written as POSCAR:
```
KGdSO
1.0
5.6955 0.0000 -0.6496
0.0000 5.7317 0.0000
-1.6245 0.0000 11.1071
Gd K O S
4 4 4 4
direct
0.5490 0.3593 0.0993 Gd
0.0488 0.8595 0.0994 Gd
0.9512 0.3595 0.9006 Gd
0.4510 0.8593 0.9007 Gd
0.4458 0.6157 0.3976 K
0.9459 0.1165 0.3978 K
0.0541 0.6165 0.6022 K
0.5542 0.1157 0.6024 K
0.2500 0.1088 0.0000 O
0.7499 0.1092 0.0000 O
0.7500 0.6088 0.0000 O
0.2501 0.6092 0.0000 O
0.3909 0.1153 0.2913 S
0.8917 0.6158 0.2914 S
0.1083 0.1158 0.7086 S
0.6091 0.6153 0.7087 S
```

Results
The volume is 357 Å³/cell. For the energy above the most stable polymorph in this dataset, the calculation gives 0.09 eV per formula unit.

***

No. 8
Below is an optimized crystal structure of Pr2GeIr, with properties calculated at the GGA-PBE level.

Cell and atoms, written as POSCAR:
```
Pr2GeIr
1.0
4.2345 0.0000 0.0000
0.0000 2.1489 5.4947
0.0000 -2.1489 5.4947
Ge Ir Pr
1 1 2
direct
0.0000 0.5692 0.5692 Ge
0.5000 0.4254 0.4254 Ir
0.5000 0.1427 0.1427 Pr
0.0000 0.8627 0.8627 Pr
```

Results
Its energy is -6.491 eV per atom. The volume is 100 Å³/cell.

***

No. 9
Below is an optimized crystal structure of SrTePdO, with properties calculated at the GGA-PBE level.

Cell and atoms, written as POSCAR:
```
SrTePdO
1.0
-4.3521 -1.6039 -4.6324
-5.0187 -3.8434 -1.7359
-4.9518 5.1740 2.8607
O Pd Sr Te
2 2 2 2
direct
0.9237 0.9237 0.0118 O
0.0763 0.0763 0.5118 O
0.6802 0.6802 0.4997 Pd
0.3198 0.3198 0.9997 Pd
0.0650 0.0650 0.2053 Sr
0.9350 0.9350 0.7053 Sr
0.3092 0.3092 0.3906 Te
0.6908 0.6908 0.8906 Te
```

Results
The volume is 180 Å³/cell. For the energy above the most stable polymorph in this dataset, the calculation gives 0.83 eV per formula unit.

***

No. 10
Below is an optimized crystal structure of HfMo, with properties calculated at the GGA-PBE level.

Cell and atoms, written as POSCAR:
```
HfMo
1.0
2.8693 -2.5537 0.3617
-0.7928 -3.7652 0.2817
0.8492 -2.3739 -2.9203
Hf Mo
1 1
direct
0.0000 0.0000 0.0000 Hf
0.5000 0.5000 0.5000 Mo
```

Results
The volume is 41 Å³/cell. As for the formation energy from the elements: 947 meV per atom. For the energy above the most stable polymorph in this dataset, the calculation gives 1.87 eV per formula unit.

***

No. 11
Below is an optimized crystal structure of Pr4PtI5, with properties calculated at the GGA-PBE level.

Cell and atoms, written as POSCAR:
```
Pr4PtI5
1.0
9.9946 -2.1427 0.0000
9.9946 2.1427 0.0000
-2.1427 0.0000 8.9983
I Pr Pt
5 4 1
direct
0.8264 0.8264 0.1735 I
0.1696 0.1696 0.3458 I
0.5000 0.5000 0.5000 I
0.8304 0.8304 0.6542 I
0.1736 0.1736 0.8265 I
0.6488 0.6488 0.0779 Pr
0.0012 0.0012 0.2104 Pr
0.9988 0.9988 0.7896 Pr
0.3512 0.3512 0.9221 Pr
0.5000 0.5000 0.0000 Pt
```

Results
Its energy is -4.551 eV per atom. The volume is 385 Å³/cell.

***

No. 12
Below is an optimized crystal structure of HoTm2MoC3, with properties calculated at the GGA-PBE level.

Cell and atoms, written as POSCAR:
```
HoTm2MoC3
1.0
-3.1967 5.3505 1.1382
-5.2895 2.9069 1.9270
3.4860 -1.5478 4.4539
C Ho Mo Tm
3 1 1 2
direct
0.9750 0.9750 0.0189 C
0.2707 0.2707 0.2431 C
0.7542 0.7542 0.7535 C
0.6211 0.6211 0.9806 Ho
0.3571 0.3571 0.0063 Mo
0.1409 0.1409 0.4733 Tm
0.8810 0.8810 0.5244 Tm
```

Results
Its energy is -7.670 eV per atom. The volume is 109 Å³/cell.

***

No. 13
Below is an optimized crystal structure of Si2HgO4, with properties calculated at the GGA-PBE level.

Cell and atoms, written as POSCAR:
```
Si2HgO4
1.0
1.5734 5.7230 1.4652
2.2476 -2.5868 -5.0628
-5.9066 1.5528 0.2752
Hg O Si
2 8 4
direct
0.0000 0.0000 0.0000 Hg
0.7500 0.5000 0.2500 Hg
0.5967 0.1935 0.4032 O
0.2097 0.8065 0.4032 O
0.5968 0.8065 0.4033 O
0.1532 0.3065 0.4597 O
0.5968 0.1935 0.7903 O
0.1532 0.6935 0.8467 O
0.1533 0.3065 0.8468 O
0.5403 0.6935 0.8468 O
0.3750 0.7500 0.1250 Si
0.3750 0.2500 0.6250 Si
0.8750 0.2500 0.6250 Si
0.3750 0.7500 0.6250 Si
```

Results
Its energy is -5.581 eV per atom. The volume is 162 Å³/cell.

***

No. 14
Below is an optimized crystal structure of FeGeB4, with properties calculated at the GGA-PBE level.

Cell and atoms, written as POSCAR:
```
FeGeB4
1.0
-1.4889 2.6665 3.3386
1.4889 -2.6665 3.3386
1.4889 2.6665 -3.3386
B Fe Ge
4 1 1
direct
0.5915 0.2552 0.3363 B
0.0811 0.7448 0.3363 B
0.9189 0.2552 0.6637 B
0.4085 0.7448 0.6637 B
0.0000 0.0000 0.0000 Fe
0.5000 0.5000 0.0000 Ge
```

Results
The volume is 53 Å³/cell. For the energy above the most stable polymorph in this dataset, the calculation gives 0.48 eV per formula unit.

***

No. 15
Below is an optimized crystal structure of NaLiHfS3, with properties calculated at the GGA-PBE level.

Cell and atoms, written as POSCAR:
```
NaLiHfS3
1.0
7.4318 0.0000 0.0000
0.0000 3.7338 0.0000
-2.5207 0.0000 8.7584
Hf Li Na S
2 2 2 6
direct
0.1869 0.2500 0.1592 Hf
0.8131 0.7500 0.8408 Hf
0.4240 0.7500 0.4078 Li
0.5760 0.2500 0.5922 Li
0.7710 0.2500 0.3111 Na
0.2290 0.7500 0.6889 Na
0.9338 0.7500 0.1390 S
0.4101 0.7500 0.1499 S
0.2488 0.2500 0.4435 S
0.7512 0.7500 0.5565 S
0.5899 0.2500 0.8501 S
0.0662 0.2500 0.8610 S
```

Results
The volume is 243 Å³/cell. For the energy above the most stable polymorph in this dataset, the calculation gives 0.08 eV per formula unit.

***

No. 16
Below is an optimized crystal structure of Nd2YIn3PtAu2, with properties calculated at the GGA-PBE level.

Cell and atoms, written as POSCAR:
```
Nd2YIn3PtAu2
1.0
-3.5260 -1.5927 -1.1176
3.5211 -3.6231 -5.9459
-0.5996 -3.5350 6.9299
Au In Nd Pt Y
2 3 2 1 1
direct
0.5000 0.6646 0.3385 Au
0.5000 0.3385 0.6646 Au
0.5000 0.2531 0.2531 In
0.5000 0.9973 0.7464 In
0.5000 0.7464 0.9973 In
0.0000 0.4042 0.0005 Nd
0.0000 0.0005 0.4042 Nd
0.0000 0.9960 0.9960 Pt
0.0000 0.5994 0.5994 Y
```

Results
Its energy is -4.908 eV per atom. The volume is 212 Å³/cell.

***

No. 17
Below is an optimized crystal structure of TaICl2O, with properties calculated at the GGA-PBE level.

Cell and atoms, written as POSCAR:
```
TaICl2O
1.0
-5.1860 -3.6815 4.0596
-5.0956 -5.5236 0.6737
11.5357 -2.3471 1.5851
Cl I O Ta
4 2 2 2
direct
0.9112 0.9112 0.0441 Cl
0.1036 0.1036 0.3729 Cl
0.8964 0.8964 0.6271 Cl
0.0888 0.0888 0.9559 Cl
0.3261 0.3261 0.2898 I
0.6739 0.6739 0.7102 I
0.6072 0.6072 0.1711 O
0.3928 0.3928 0.8289 O
0.1156 0.1156 0.1877 Ta
0.8844 0.8844 0.8123 Ta
```

Results
Its energy is -5.969 eV per atom. The volume is 286 Å³/cell.

***

No. 18
Below is an optimized crystal structure of CsLiW, with properties calculated at the GGA-PBE level.

Cell and atoms, written as POSCAR:
```
CsLiW
1.0
0.0000 4.0435 4.0435
4.0435 0.0000 4.0435
4.0435 4.0435 0.0000
Cs Li W
1 1 1
direct
0.0000 0.0000 0.0000 Cs
0.2500 0.2500 0.2500 Li
0.7500 0.7500 0.7500 W
```

Results
The volume is 132 Å³/cell. For the energy above the most stable polymorph in this dataset, the calculation gives 1.02 eV per formula unit.

***

No. 19
Below is an optimized crystal structure of CsTbB4, with properties calculated at the GGA-PBE level.

Cell and atoms, written as POSCAR:
```
CsTbB4
1.0
-0.9180 1.2876 -2.8797
2.3287 -2.3154 0.0964
-6.5865 -6.6610 -0.8788
B Cs Tb
4 1 1
direct
0.6667 0.3333 0.2987 B
0.3333 0.6667 0.2987 B
0.6667 0.3333 0.7013 B
0.3333 0.6667 0.7013 B
0.0000 0.0000 0.0000 Cs
0.0000 0.0000 0.5000 Tb
```

Results
The volume is 88 Å³/cell. For the energy above the most stable polymorph in this dataset, the calculation gives 0.00 eV per formula unit.

***

No. 20
Below is an optimized crystal structure of LiNbCo2, with properties calculated at the GGA-PBE level.

Cell and atoms, written as POSCAR:
```
LiNbCo2
1.0
1.7116 0.6471 3.6718
2.1407 3.4311 0.6893
-1.5087 2.8946 2.4850
Co Li Nb
2 1 1
direct
0.0000 0.0000 0.0000 Co
0.7500 0.7500 0.7500 Co
0.5000 0.5000 0.5000 Li
0.2500 0.2500 0.2500 Nb
```

Results
Its energy is -6.290 eV per atom. The volume is 49 Å³/cell.